Density functional theory data (PBE) for a relaxed structure of AcGaRhO6.

```
data_AcGaRhO6
_chemical_formula_sum 'Ac1 Ga1 Rh1 O6'
_cell_length_a 5.2386
_cell_length_b 5.2386
_cell_length_c 5.3588
_cell_angle_alpha 90.00
_cell_angle_beta 90.00
_cell_angle_gamma 60.00
_space_group_name_H-M_alt 'P 1'
_space_group_IT_number 1
_space_group_name_Hall 'P 1'
loop_
_atom_site_label
_atom_site_type_symbol
_atom_site_fract_x
_atom_site_fract_y
_atom_site_fract_z
_atom_site_occupancy
Ac1 Ac 0.0000 0.0000 0.0000 1
Ga1 Ga 0.6666 0.6667 0.5000 1
Rh1 Rh 0.3333 0.3333 0.5000 1
O1 O 0.0061 0.3737 0.2939 1
O2 O 0.3737 0.0062 0.7061 1
O3 O 0.6201 0.3737 0.7061 1
O4 O 0.0061 0.6202 0.7061 1
O5 O 0.3737 0.6201 0.2939 1
O6 O 0.6201 0.0062 0.2939 1
```

Properties
VASP energy   -6.5704 eV/atom
Formation energy (no corrections)   -14.897 eV per formula unit
Symmetry   P312
Total magnetization   2.82 μB per formula unit


Density functional theory data (PBE) for a relaxed structure of Ac3Ga2RhO9.

```
data_Ac3Ga2RhO9
_chemical_formula_sum 'Ac3 Ga2 Rh1 O9'
_cell_length_a 5.6500
_cell_length_b 5.6500
_cell_length_c 6.9297
_cell_angle_alpha 90.00
_cell_angle_beta 90.00
_cell_angle_gamma 120.00
_space_group_name_H-M_alt 'P 1'
_space_group_IT_number 1
_space_group_name_Hall 'P 1'
loop_
_atom_site_label
_atom_site_type_symbol
_atom_site_fract_x
_atom_site_fract_y
_atom_site_fract_z
_atom_site_occupancy
Ac1 Ac 0.3333 0.6667 0.6605 1
Ac2 Ac 0.0000 0.0000 0.0000 1
Ac3 Ac 0.6667 0.3333 0.3395 1
Ga1 Ga 0.3333 0.6667 0.1596 1
Ga2 Ga 0.6667 0.3333 0.8404 1
Rh1 Rh 0.0000 0.0000 0.5000 1
O1 O 0.8298 0.1702 0.6711 1
O2 O 0.8298 0.6596 0.6711 1
O3 O 0.3404 0.1702 0.6711 1
O4 O 0.6596 0.8298 0.3289 1
O5 O 0.1702 0.3404 0.3289 1
O6 O 0.1702 0.8298 0.3289 1
O7 O 0.5000 0.0000 0.0000 1
O8 O 0.0000 0.5000 0.0000 1
O9 O 0.5000 0.5000 0.0000 1
```

Properties
VASP energy   -7.1187 eV/atom
Formation energy (no corrections)   -36.427 eV per formula unit
Symmetry   P-3m1
Total magnetization   0.00 μB per formula unit


Density functional theory data (PBE) for a relaxed structure of AcGaRuO6.

```
data_AcGaRuO6
_chemical_formula_sum 'Ac2 Ga2 Ru2 O12'
_cell_length_a 5.2325
_cell_length_b 5.2325
_cell_length_c 10.6783
_cell_angle_alpha 90.00
_cell_angle_beta 90.00
_cell_angle_gamma 120.00
_space_group_name_H-M_alt 'P 1'
_space_group_IT_number 1
_space_group_name_Hall 'P 1'
loop_
_atom_site_label
_atom_site_type_symbol
_atom_site_fract_x
_atom_site_fract_y
_atom_site_fract_z
_atom_site_occupancy
Ac1 Ac 0.0000 0.0000 0.0000 1
Ac2 Ac 0.0000 0.0000 0.5000 1
Ga1 Ga 0.6667 0.3333 0.2500 1
Ga2 Ga 0.3333 0.6667 0.7500 1
Ru1 Ru 0.3333 0.6667 0.2500 1
Ru2 Ru 0.6667 0.3333 0.7500 1
O1 O 0.6158 0.6242 0.1469 1
O2 O 0.0084 0.3842 0.1469 1
O3 O 0.3842 0.0084 0.6469 1
O4 O 0.9916 0.6158 0.8531 1
O5 O 0.3758 0.3842 0.3531 1
O6 O 0.0084 0.6242 0.3531 1
O7 O 0.6242 0.0084 0.8531 1
O8 O 0.6158 0.9916 0.3531 1
O9 O 0.9916 0.3758 0.6469 1
O10 O 0.3758 0.9916 0.1469 1
O11 O 0.6242 0.6158 0.6469 1
O12 O 0.3842 0.3758 0.8531 1
```

Properties
VASP energy   -6.9550 eV/atom
Formation energy (no corrections)   -16.434 eV per formula unit
Symmetry   P-31c
Total magnetization   2.00 μB per formula unit